Entry 1:
ZnCuAg2 | GGA-PBEsol | relaxed

Cell: 2.817 3.711 5.597 Å, 90.00 90.00 90.00°
Sites, in units of the cell vectors:
Zn  0.000  0.000  0.000
Cu  0.500  0.500  0.775
Ag  0.000  0.000  0.532
Ag  0.500  0.500  0.251

## Properties
- ΔE_f (kJ/mol of formula units) = 1
- electronic total energy (eV/cell) = -12.53
- N(E_F) (states/eV/atom) = 0.258
- SG = No. 25

---

Entry 2:
ZnCuAg2 | GGA-PBEsol | relaxed

Cell: 2.815 4.137 5.178 Å, 90.00 103.81 90.00°
Sites, in units of the cell vectors:
Zn  0.000  0.000  0.000
Cu  0.880  0.500  0.736
Ag  0.279  0.000  0.528
Ag  0.603  0.500  0.212

## Properties
- ΔE_f (kJ/mol of formula units) = 1
- electronic total energy (eV/cell) = -12.53
- N(E_F) (states/eV/atom) = 0.259
- SG = No. 6

---

Entry 3:
Zr2CuAg | GGA-PBEsol | relaxed

Cell: 3.345 3.345 6.480 Å, 90.00 90.00 90.00°
Sites, in units of the cell vectors:
Zr  0.000  0.000  0.000
Zr  0.500  0.500  0.302
Cu  0.500  0.500  0.771
Ag  0.000  0.000  0.559

## Properties
- ΔE_f (kJ/mol of formula units) = -46
- electronic total energy (eV/cell) = -26.31
- N(E_F) (states/eV/atom) = 0.573
- SG = No. 99

---

Entry 4:
ZrCuAg | GGA-PBEsol | relaxed

Cell: 4.973 4.973 4.973 Å, 144.22 135.88 58.05°
Sites, in units of the cell vectors:
Zr  0.000  0.000  0.000
Cu  0.334  0.334  0.000
Ag  0.682  0.682  0.000

## Properties
- ΔE_f (kJ/mol of formula units) = -22
- electronic total energy (eV/cell) = -16.97
- N(E_F) (states/eV/atom) = 0.512
- SG = No. 44

---

Entry 5:
ZrCu2Ag2 | GGA-PBEsol | relaxed

Cell: 6.971 6.971 6.971 Å, 150.35 150.35 42.43°
Sites, in units of the cell vectors:
Zr  0.000  0.000  0.000
Cu  0.250  0.750  0.500
Cu  0.750  0.250  0.500
Ag  0.394  0.394  0.000
Ag  0.606  0.606  0.000

## Properties
- ΔE_f (kJ/mol of formula units) = 97
- electronic total energy (eV/cell) = -23.37
- N(E_F) (states/eV/atom) = 0.654
- SG = No. 139

---

Entry 6:
Zr2CuAg | GGA-PBEsol | relaxed

Cell: 2.976 2.976 8.023 Å, 90.00 90.00 90.00°
Sites, in units of the cell vectors:
Zr  0.000  0.000  0.230
Zr  0.000  0.000  0.770
Cu  0.500  0.500  0.000
Ag  0.500  0.500  0.500

## Properties
- ΔE_f (kJ/mol of formula units) = -29
- electronic total energy (eV/cell) = -26.12
- N(E_F) (states/eV/atom) = 1.041
- SG = No. 123

---

Entry 7:
Zr2Cu2Ag | GGA-PBEsol | relaxed

Cell: 6.984 6.984 3.460 Å, 90.00 90.00 90.00°
Sites, in units of the cell vectors:
Zr  0.170  0.330  0.000
Zr  0.330  0.830  0.000
Zr  0.670  0.170  0.000
Zr  0.830  0.670  0.000
Cu  0.126  0.626  0.500
Cu  0.374  0.126  0.500
Cu  0.626  0.874  0.500
Cu  0.874  0.374  0.500
Ag  0.000  0.000  0.500
Ag  0.500  0.500  0.500

## Properties
- ΔE_f (kJ/mol of formula units) = -59
- electronic total energy (eV/cell) = -61.55
- N(E_F) (states/eV/atom) = 1.098
- SG = No. 127

---

Entry 8:
ZrCuAg2 | GGA-PBEsol | relaxed

Cell: 3.098 3.098 6.954 Å, 90.00 90.00 90.00°
Sites, in units of the cell vectors:
Zr  0.000  0.000  0.000
Cu  0.500  0.500  0.757
Ag  0.000  0.000  0.547
Ag  0.500  0.500  0.294

## Properties
- ΔE_f (kJ/mol of formula units) = -9
- electronic total energy (eV/cell) = -20.13
- N(E_F) (states/eV/atom) = 0.640
- SG = No. 99

---

Entry 9:
Zr2CuAg | GGA-PBEsol | relaxed

Cell: 5.518 5.518 4.969 Å, 113.32 113.32 31.43°
Sites, in units of the cell vectors:
Zr  0.000  0.000  0.000
Zr  0.227  0.227  0.646
Cu  0.744  0.744  0.144
Ag  0.457  0.457  0.460

## Properties
- ΔE_f (kJ/mol of formula units) = -4
- electronic total energy (eV/cell) = -25.87
- N(E_F) (states/eV/atom) = 0.972
- SG = No. 8

---

Entry 10:
ZrCuAg | GGA-PBEsol | relaxed

Cell: 4.353 4.353 4.353 Å, 60.00 60.00 60.00°
Sites, in units of the cell vectors:
Zr  0.000  0.000  0.000
Cu  0.500  0.500  0.500
Ag  0.750  0.750  0.750

## Properties
- ΔE_f (kJ/mol of formula units) = 117
- electronic total energy (eV/cell) = -15.52
- N(E_F) (states/eV/atom) = 1.510
- SG = No. 216

---

Entry 11:
ZrCuAg | GGA-PBEsol | relaxed

Cell: 4.496 4.496 2.811 Å, 90.00 90.00 120.00°
Sites, in units of the cell vectors:
Zr  0.000  0.000  0.000
Cu  0.333  0.667  0.500
Ag  0.667  0.333  0.500

## Properties
- ΔE_f (kJ/mol of formula units) = -31
- electronic total energy (eV/cell) = -17.06
- N(E_F) (states/eV/atom) = 0.671
- SG = No. 187

---

Entry 12:
ZrCu4Ag | GGA-PBEsol | relaxed

Cell: 4.870 4.870 4.870 Å, 60.00 60.00 60.00°
Sites, in units of the cell vectors:
Zr  0.000  0.000  0.000
Cu  0.127  0.624  0.624
Cu  0.624  0.127  0.624
Cu  0.624  0.624  0.127
Cu  0.624  0.624  0.624
Ag  0.250  0.250  0.250

## Properties
- ΔE_f (kJ/mol of formula units) = -101
- electronic total energy (eV/cell) = -30.79
- N(E_F) (states/eV/atom) = 0.569
- SG = No. 216